{
  "formula": "Ho3PtSe3",
  "functional": "PBE",
  "state": "relaxed",
  "lattice_angstrom": [[4.2019, 2.4260, 5.7567], [-4.2019, 2.4260, 5.7567], [0.0000, -4.8519, 5.7567]],
  "species": ["Ho", "Ho", "Ho", "Ho", "Ho", "Ho", "Pt", "Pt", "Se", "Se", "Se", "Se", "Se", "Se"],
  "frac_coords": [[0.0321, 0.4709, 0.7259], [0.2741, 0.9679, 0.5291], [0.4709, 0.7259, 0.0321], [0.5291, 0.2741, 0.9679], [0.7259, 0.0321, 0.4709], [0.9679, 0.5291, 0.2741], [0.3492, 0.3492, 0.3492], [0.6508, 0.6508, 0.6508], [0.1265, 0.7909, 0.3572], [0.2091, 0.6428, 0.8735], [0.3572, 0.1265, 0.7909], [0.6428, 0.8735, 0.2091], [0.7909, 0.3572, 0.1265], [0.8735, 0.2091, 0.6428]],
  "m_tot_mub_per_fu": 0.0,
  "e_form_raw_mev_per_atom": -1551.4,
  "spacegroup": "R-3"
}

=====

{
  "formula": "Ho4PtSe3",
  "functional": "PBE",
  "state": "relaxed",
  "lattice_angstrom": [[4.1656, -5.8228, 0.0000], [4.1656, 5.8228, 0.0000], [0.0000, 0.0000, 3.9968]],
  "species": ["Ho", "Ho", "Ho", "Ho", "Pt", "Se", "Se", "Se"],
  "frac_coords": [[0.2315, 0.2315, 0.5000], [0.2441, 0.7559, 0.0000], [0.7559, 0.2441, 0.0000], [0.7685, 0.7685, 0.5000], [0.0000, 0.0000, 0.0000], [0.0000, 0.5000, 0.5000], [0.5000, 0.0000, 0.5000], [0.5000, 0.5000, 0.0000]],
  "m_tot_mub_per_fu": 0.0,
  "e_form_raw_mev_per_atom": -1619.4,
  "spacegroup": "Cmmm"
}

=====

{
  "formula": "Ho5PtSe4",
  "functional": "PBE",
  "state": "relaxed",
  "lattice_angstrom": [[-2.0222, 2.0222, 14.6231], [2.0222, -2.0222, 14.6231], [2.0222, 2.0222, -14.6231]],
  "species": ["Ho", "Ho", "Ho", "Ho", "Ho", "Pt", "Se", "Se", "Se", "Se"],
  "frac_coords": [[0.0000, 0.0000, 0.0000], [0.2044, 0.2044, 0.0000], [0.4033, 0.4033, 0.0000], [0.5967, 0.5967, 0.0000], [0.7956, 0.7956, 0.0000], [0.5000, 0.5000, 0.0000], [0.1053, 0.1053, 0.0000], [0.3032, 0.3032, 0.0000], [0.6968, 0.6968, 0.0000], [0.8947, 0.8947, 0.0000]],
  "m_tot_mub_per_fu": 0.0,
  "e_form_raw_mev_per_atom": -1628.3,
  "spacegroup": "I4/mmm"
}

=====

{
  "formula": "Ho4PtSe3",
  "functional": "PBE",
  "state": "relaxed",
  "lattice_angstrom": [[5.7640, 0.0000, 0.0000], [0.0000, 5.7640, 0.0000], [0.0000, 0.0000, 5.7640]],
  "species": ["Ho", "Ho", "Ho", "Ho", "Pt", "Se", "Se", "Se"],
  "frac_coords": [[0.0000, 0.0000, 0.0000], [0.0000, 0.5000, 0.5000], [0.5000, 0.0000, 0.5000], [0.5000, 0.5000, 0.0000], [0.5000, 0.5000, 0.5000], [0.0000, 0.0000, 0.5000], [0.0000, 0.5000, 0.0000], [0.5000, 0.0000, 0.0000]],
  "m_tot_mub_per_fu": 0.8,
  "e_form_raw_mev_per_atom": -1556.1,
  "spacegroup": "Pm-3m"
}

=====

{
  "formula": "Ho7PtSe5",
  "functional": "PBE",
  "state": "relaxed",
  "lattice_angstrom": [[1.9764, -6.6610, 0.0000], [1.9764, 6.6610, 0.0000], [0.0000, 0.0000, 24.2845]],
  "species": ["Ho", "Ho", "Ho", "Ho", "Ho", "Ho", "Ho", "Ho", "Ho", "Ho", "Ho", "Ho", "Ho", "Ho", "Pt", "Pt", "Se", "Se", "Se", "Se", "Se", "Se", "Se", "Se", "Se", "Se"],
  "frac_coords": [[0.0410, 0.9590, 0.5000], [0.1378, 0.8622, 0.2118], [0.1394, 0.8606, 0.7885], [0.2949, 0.7051, 0.4311], [0.2963, 0.7037, 0.5691], [0.4092, 0.5908, 0.1325], [0.4112, 0.5888, 0.8670], [0.5888, 0.4112, 0.3670], [0.5908, 0.4092, 0.6325], [0.7037, 0.2963, 0.0691], [0.7051, 0.2949, 0.9311], [0.8606, 0.1394, 0.2885], [0.8622, 0.1378, 0.7118], [0.9590, 0.0410, 0.0000], [0.3058, 0.6942, 0.0006], [0.6942, 0.3058, 0.5006], [0.0556, 0.9444, 0.1060], [0.0570, 0.9430, 0.8943], [0.2194, 0.7806, 0.3208], [0.2210, 0.7790, 0.6794], [0.4990, 0.5010, 0.2499], [0.5010, 0.4990, 0.7499], [0.7790, 0.2210, 0.1794], [0.7806, 0.2194, 0.8208], [0.9430, 0.0570, 0.3943], [0.9444, 0.0556, 0.6060]],
  "m_tot_mub_per_fu": 0.0,
  "e_form_raw_mev_per_atom": -1566.0,
  "spacegroup": "Cmc2_1"
}

=====

{
  "formula": "Ho5PtSe5",
  "functional": "PBE",
  "state": "relaxed",
  "lattice_angstrom": [[6.4733, -2.8878, 0.0000], [6.4733, 2.8878, 0.0000], [-2.5777, 0.0000, 7.7463]],
  "species": ["Ho", "Ho", "Ho", "Ho", "Ho", "Pt", "Se", "Se", "Se", "Se", "Se"],
  "frac_coords": [[0.0000, 0.0000, 0.0000], [0.3402, 0.3402, 0.6701], [0.3452, 0.3452, 0.1683], [0.6548, 0.6548, 0.8317], [0.6598, 0.6598, 0.3299], [0.5000, 0.5000, 0.0000], [0.1725, 0.1725, 0.8395], [0.1786, 0.1786, 0.3336], [0.5000, 0.5000, 0.5000], [0.8214, 0.8214, 0.6664], [0.8275, 0.8275, 0.1605]],
  "m_tot_mub_per_fu": 0.0,
  "e_form_raw_mev_per_atom": -1694.3,
  "spacegroup": "C2/m"
}

=====

{
  "formula": "Ho3PtSe2",
  "functional": "PBE",
  "state": "relaxed",
  "lattice_angstrom": [[0.0000, 5.7983, 12.0746], [4.1898, 0.0000, 12.0746], [4.1898, 5.7983, 0.0000]],
  "species": ["Ho", "Ho", "Ho", "Ho", "Ho", "Ho", "Ho", "Ho", "Ho", "Ho", "Ho", "Ho", "Pt", "Pt", "Pt", "Pt", "Se", "Se", "Se", "Se", "Se", "Se", "Se", "Se"],
  "frac_coords": [[0.0361, 0.5401, 0.1954], [0.1103, 0.6397, 0.6397], [0.1954, 0.7284, 0.0361], [0.2716, 0.8046, 0.4599], [0.3603, 0.8897, 0.8897], [0.4599, 0.9639, 0.2716], [0.5401, 0.0361, 0.7284], [0.6397, 0.1103, 0.1103], [0.7284, 0.1954, 0.5401], [0.8046, 0.2716, 0.9639], [0.8897, 0.3603, 0.3603], [0.9639, 0.4599, 0.8046], [0.0416, 0.0416, 0.2084], [0.2084, 0.2084, 0.0416], [0.7916, 0.7916, 0.9584], [0.9584, 0.9584, 0.7916], [0.1278, 0.1278, 0.6222], [0.2948, 0.2948, 0.4552], [0.3777, 0.3777, 0.8722], [0.4552, 0.4552, 0.2948], [0.5448, 0.5448, 0.7052], [0.6222, 0.6222, 0.1278], [0.7052, 0.7052, 0.5448], [0.8722, 0.8722, 0.3777]],
  "m_tot_mub_per_fu": 0.0,
  "e_form_raw_mev_per_atom": -1579.7,
  "spacegroup": "Fddd"
}

=====

{
  "formula": "Ho3PtSe2",
  "functional": "PBE",
  "state": "relaxed",
  "lattice_angstrom": [[-1.9735, 2.9211, 6.3378], [1.9735, -2.9211, 6.3378], [1.9735, 2.9211, -6.3378]],
  "species": ["Ho", "Ho", "Ho", "Pt", "Se", "Se"],
  "frac_coords": [[0.0000, 0.0000, 0.0000], [0.3461, 0.3461, 0.0000], [0.6539, 0.6539, 0.0000], [0.5000, 0.0000, 0.5000], [0.1711, 0.6711, 0.5000], [0.8289, 0.3289, 0.5000]],
  "m_tot_mub_per_fu": 0.0,
  "e_form_raw_mev_per_atom": -1549.9,
  "spacegroup": "Immm"
}

=====

{
  "formula": "Ho6PtSe5",
  "functional": "PBE",
  "state": "relaxed",
  "lattice_angstrom": [[3.5459, -6.1408, 0.0000], [3.5459, 6.1408, 0.0000], [-2.3801, 0.0000, 6.6491]],
  "species": ["Ho", "Ho", "Ho", "Ho", "Ho", "Ho", "Pt", "Se", "Se", "Se", "Se", "Se"],
  "frac_coords": [[0.0779, 0.3983, 0.2385], [0.2391, 0.2391, 0.7563], [0.3983, 0.0779, 0.2385], [0.6017, 0.9221, 0.7615], [0.7609, 0.7609, 0.2437], [0.9221, 0.6017, 0.7615], [0.0000, 0.0000, 0.0000], [0.1751, 0.8249, 0.5000], [0.3347, 0.6653, 0.0000], [0.5000, 0.5000, 0.5000], [0.6653, 0.3347, 0.0000], [0.8249, 0.1751, 0.5000]],
  "m_tot_mub_per_fu": 0.0,
  "e_form_raw_mev_per_atom": -1683.7,
  "spacegroup": "C2/m"
}

=====

{
  "formula": "Ho8Te4Pt3Se",
  "functional": "PBE",
  "state": "relaxed",
  "lattice_angstrom": [[4.1701, 2.4076, 7.1855], [-4.1701, 2.4076, 7.1855], [0.0000, -4.8152, 7.1855]],
  "species": ["Ho", "Ho", "Ho", "Ho", "Ho", "Ho", "Ho", "Ho", "Te", "Te", "Te", "Te", "Pt", "Pt", "Pt", "Se"],
  "frac_coords": [[0.2259, 0.7449, 0.7449], [0.2355, 0.2355, 0.2355], [0.2551, 0.2551, 0.7741], [0.2551, 0.7741, 0.2551], [0.7449, 0.2259, 0.7449], [0.7449, 0.7449, 0.2259], [0.7645, 0.7645, 0.7645], [0.7741, 0.2551, 0.2551], [0.0000, 0.0000, 0.0000], [0.0000, 0.5000, 0.5000], [0.5000, 0.0000, 0.5000], [0.5000, 0.5000, 0.0000], [0.0000, 0.0000, 0.5000], [0.0000, 0.5000, 0.0000], [0.5000, 0.0000, 0.0000], [0.5000, 0.5000, 0.5000]],
  "m_tot_mub_per_fu": 0.0,
  "e_form_raw_mev_per_atom": -1337.2,
  "spacegroup": "R-3m"
}

=====

{
  "formula": "Ho6TePt2Se3",
  "functional": "PBE",
  "state": "relaxed",
  "lattice_angstrom": [[9.1753, -2.0247, 0.0000], [9.1753, 2.0247, 0.0000], [-2.3341, 0.0000, 8.1288]],
  "species": ["Ho", "Ho", "Ho", "Ho", "Ho", "Ho", "Te", "Pt", "Pt", "Se", "Se", "Se"],
  "frac_coords": [[0.0135, 0.0135, 0.2727], [0.3230, 0.3230, 0.8722], [0.3334, 0.3334, 0.4127], [0.6666, 0.6666, 0.5873], [0.6770, 0.6770, 0.1278], [0.9865, 0.9865, 0.7273], [0.5000, 0.5000, 0.0000], [0.1736, 0.1736, 0.3580], [0.8264, 0.8264, 0.6420], [0.1580, 0.1580, 0.8511], [0.5000, 0.5000, 0.5000], [0.8420, 0.8420, 0.1489]],
  "m_tot_mub_per_fu": 0.0,
  "e_form_raw_mev_per_atom": -1495.9,
  "spacegroup": "C2/m"
}

=====

{
  "formula": "Ho6Te3PtSe2",
  "functional": "PBE",
  "state": "relaxed",
  "lattice_angstrom": [[3.6537, -6.3250, 0.0000], [3.6537, 6.3250, 0.0000], [-2.4355, 0.0000, 7.0081]],
  "species": ["Ho", "Ho", "Ho", "Ho", "Ho", "Ho", "Te", "Te", "Te", "Pt", "Se", "Se"],
  "frac_coords": [[0.0715, 0.3860, 0.2170], [0.2404, 0.2404, 0.7765], [0.3860, 0.0715, 0.2170], [0.6140, 0.9285, 0.7830], [0.7596, 0.7596, 0.2235], [0.9285, 0.6140, 0.7830], [0.1756, 0.8244, 0.5000], [0.5000, 0.5000, 0.5000], [0.8244, 0.1756, 0.5000], [0.0000, 0.0000, 0.0000], [0.3346, 0.6654, 0.0000], [0.6654, 0.3346, 0.0000]],
  "m_tot_mub_per_fu": 0.0,
  "e_form_raw_mev_per_atom": -1469.1,
  "spacegroup": "C2/m"
}

=====

{
  "formula": "Ho6TlPt2Se3",
  "functional": "PBE",
  "state": "relaxed",
  "lattice_angstrom": [[9.4195, -1.9874, 0.0000], [9.4195, 1.9874, 0.0000], [-3.2023, 0.0000, 8.0028]],
  "species": ["Ho", "Ho", "Ho", "Ho", "Ho", "Ho", "Tl", "Pt", "Pt", "Se", "Se", "Se"],
  "frac_coords": [[0.0041, 0.0041, 0.2328], [0.3221, 0.3221, 0.9443], [0.3268, 0.3268, 0.4167], [0.6732, 0.6732, 0.5833], [0.6779, 0.6779, 0.0557], [0.9959, 0.9959, 0.7672], [0.5000, 0.5000, 0.5000], [0.1562, 0.1562, 0.8048], [0.8438, 0.8438, 0.1952], [0.1666, 0.1666, 0.3191], [0.5000, 0.5000, 0.0000], [0.8334, 0.8334, 0.6809]],
  "m_tot_mub_per_fu": 0.0,
  "e_form_raw_mev_per_atom": -1319.1,
  "spacegroup": "C2/m"
}

=====

{
  "formula": "HoSi3Pt5",
  "functional": "PBE",
  "state": "relaxed",
  "lattice_angstrom": [[1.9141, -6.2488, 0.0000], [1.9141, 6.2488, 0.0000], [0.0000, 0.0000, 12.9888]],
  "species": ["Ho", "Ho", "Si", "Si", "Si", "Si", "Si", "Si", "Pt", "Pt", "Pt", "Pt", "Pt", "Pt", "Pt", "Pt", "Pt", "Pt"],
  "frac_coords": [[0.1541, 0.8459, 0.7500], [0.8459, 0.1541, 0.2500], [0.1109, 0.8891, 0.2500], [0.3807, 0.6193, 0.0345], [0.3807, 0.6193, 0.4655], [0.6193, 0.3807, 0.5345], [0.6193, 0.3807, 0.9655], [0.8891, 0.1109, 0.7500], [0.0000, 0.0000, 0.0000], [0.0000, 0.0000, 0.5000], [0.2069, 0.7931, 0.0877], [0.2069, 0.7931, 0.4123], [0.4643, 0.5357, 0.6485], [0.4643, 0.5357, 0.8515], [0.5357, 0.4643, 0.1485], [0.5357, 0.4643, 0.3515], [0.7931, 0.2069, 0.5877], [0.7931, 0.2069, 0.9123]],
  "m_tot_mub_per_fu": 0.0,
  "e_form_raw_mev_per_atom": -816.4,
  "spacegroup": "Cmcm"
}

=====

{
  "formula": "HoSi2Pt7",
  "functional": "PBE",
  "state": "relaxed",
  "lattice_angstrom": [[-2.0183, 2.0183, 10.0923], [2.0183, -2.0183, 10.0923], [2.0183, 2.0183, -10.0923]],
  "species": ["Ho", "Si", "Si", "Pt", "Pt", "Pt", "Pt", "Pt", "Pt", "Pt"],
  "frac_coords": [[0.0000, 0.0000, 0.0000], [0.3237, 0.3237, 0.0000], [0.6763, 0.6763, 0.0000], [0.1069, 0.6069, 0.5000], [0.2500, 0.7500, 0.5000], [0.3931, 0.8931, 0.5000], [0.5000, 0.5000, 0.0000], [0.6069, 0.1069, 0.5000], [0.7500, 0.2500, 0.5000], [0.8931, 0.3931, 0.5000]],
  "m_tot_mub_per_fu": 0.0,
  "e_form_raw_mev_per_atom": -888.0,
  "spacegroup": "I4/mmm"
}

=====

{
  "formula": "HoSiPt",
  "functional": "PBE",
  "state": "relaxed",
  "lattice_angstrom": [[6.9814, 0.0000, 0.0000], [0.0000, 4.2828, 0.0000], [0.0000, 0.0000, 7.4529]],
  "species": ["Ho", "Ho", "Ho", "Ho", "Si", "Si", "Si", "Si", "Pt", "Pt", "Pt", "Pt"],
  "frac_coords": [[0.0037, 0.2500, 0.2005], [0.4963, 0.7500, 0.7005], [0.5037, 0.2500, 0.2995], [0.9963, 0.7500, 0.7995], [0.1867, 0.2500, 0.5878], [0.3133, 0.7500, 0.0878], [0.6867, 0.2500, 0.9122], [0.8133, 0.7500, 0.4122], [0.2002, 0.7500, 0.4144], [0.2998, 0.2500, 0.9144], [0.7002, 0.7500, 0.0856], [0.7998, 0.2500, 0.5856]],
  "m_tot_mub_per_fu": 0.0,
  "e_form_raw_mev_per_atom": -1208.7,
  "spacegroup": "Pnma"
}

=====

{
  "formula": "HoSiPt",
  "functional": "PBE",
  "state": "relaxed",
  "lattice_angstrom": [[4.2993, 0.0000, 0.0000], [-2.1496, 3.7233, 0.0000], [0.0000, 0.0000, 3.5793]],
  "species": ["Ho", "Si", "Pt"],
  "frac_coords": [[0.0000, 0.0000, 0.0000], [0.3333, 0.6667, 0.5000], [0.6667, 0.3333, 0.5000]],
  "m_tot_mub_per_fu": 0.0,
  "e_form_raw_mev_per_atom": -1153.9,
  "spacegroup": "P-6m2"
}

=====

{
  "formula": "Ho2Si2Pt5",
  "functional": "PBE",
  "state": "relaxed",
  "lattice_angstrom": [[4.1707, 0.0000, 0.0000], [0.0000, 4.1707, 0.0000], [0.0000, 0.0000, 8.9556]],
  "species": ["Ho", "Ho", "Si", "Si", "Pt", "Pt", "Pt", "Pt", "Pt"],
  "frac_coords": [[0.0000, 0.0000, 0.0000], [0.0000, 0.0000, 0.5000], [0.5000, 0.5000, 0.1305], [0.5000, 0.5000, 0.8695], [0.0000, 0.5000, 0.2655], [0.0000, 0.5000, 0.7345], [0.5000, 0.0000, 0.2655], [0.5000, 0.0000, 0.7345], [0.5000, 0.5000, 0.5000]],
  "m_tot_mub_per_fu": 0.0,
  "e_form_raw_mev_per_atom": -1120.4,
  "spacegroup": "P4/mmm"
}

=====

{
  "formula": "HoSiPt4",
  "functional": "PBE",
  "state": "relaxed",
  "lattice_angstrom": [[7.6521, 0.0000, 0.0000], [0.0000, 3.8826, 0.0000], [0.0000, 0.0000, 6.8906]],
  "species": ["Ho", "Ho", "Si", "Si", "Pt", "Pt", "Pt", "Pt", "Pt", "Pt", "Pt", "Pt"],
  "frac_coords": [[0.2500, 0.0000, 0.1305], [0.7500, 0.0000, 0.8695], [0.2500, 0.0000, 0.7125], [0.7500, 0.0000, 0.2875], [0.0000, 0.0000, 0.5000], [0.0592, 0.5000, 0.8085], [0.2500, 0.5000, 0.4421], [0.4408, 0.5000, 0.8085], [0.5000, 0.0000, 0.5000], [0.5592, 0.5000, 0.1915], [0.7500, 0.5000, 0.5579], [0.9408, 0.5000, 0.1915]],
  "m_tot_mub_per_fu": 0.0,
  "e_form_raw_mev_per_atom": -902.1,
  "spacegroup": "Pmma"
}

=====

{
  "formula": "Ho2SiPt",
  "functional": "PBE",
  "state": "relaxed",
  "lattice_angstrom": [[3.4462, 0.0000, 0.0000], [0.0000, 3.4462, 0.0000], [0.0000, 0.0000, 7.1729]],
  "species": ["Ho", "Ho", "Si", "Pt"],
  "frac_coords": [[0.0000, 0.0000, 0.2457], [0.0000, 0.0000, 0.7543], [0.5000, 0.5000, 0.5000], [0.5000, 0.5000, 0.0000]],
  "m_tot_mub_per_fu": 0.0,
  "e_form_raw_mev_per_atom": -876.6,
  "spacegroup": "P4/mmm"
}